Record 1
Here is Cu3TeO after structural relaxation from Alexandria. Energies are from PBE.

The structure belongs to space group Pm-3m (No. 221); the cell edges are 4.828, 4.828 and 4.828 Å and the angles 90.00°, 90.00° and 90.00°. The asymmetric unit holds Cu at (0.000, 0.000, 0.500), Te at (0.000, 0.000, 0.000) and O at (0.500, 0.500, 0.500).

The value obtained for the total DFT energy (no corrections) is -3.203 eV/atom. For the polymorph energy (0 for the lowest one), the calculation gives 21.320 kcal/mol of atoms. The uncorrected formation energy comes out at 0.87 eV/atom. The volume comes out at 113 Å³/cell. Its crystal system is cubic.

=====

Record 2
Here is CuTeO3 after structural relaxation from Alexandria. Energies are from PBE.

The structure belongs to space group P2_1/c (No. 14); the cell edges are 6.317, 7.282 and 12.314 Å and the angles 90.00°, 97.27° and 90.00°. The asymmetric unit holds Cu at (0.102, 0.153, 0.122), Cu at (0.105, 0.624, 0.120), Te at (0.269, 0.129, 0.857), Te at (0.428, 0.643, 0.893), O at (0.022, 0.613, 0.602), O at (0.180, 0.108, 0.341), O at (0.194, 0.109, 0.693), O at (0.197, 0.668, 0.356), O at (0.357, 0.602, 0.041) and O at (0.364, 0.163, 0.054).

The value obtained for the total DFT energy (no corrections) is -5.227 eV/atom. The uncorrected formation energy comes out at -0.80 eV/atom. The volume comes out at 562 Å³/cell. Its crystal system is monoclinic.

=====

Record 3
Here is Cu2TeO after structural relaxation from Alexandria. Energies are from PBE.

The structure belongs to space group I-42d (No. 122); the cell edges are 5.033, 5.033 and 10.752 Å and the angles 90.00°, 90.00° and 90.00°. The asymmetric unit holds Cu at (0.124, 0.250, 0.125), Te at (0.000, 0.000, 0.500) and O at (0.000, 0.000, 0.000).

The value obtained for the total DFT energy (no corrections) is -4.290 eV/atom. For the polymorph energy (0 for the lowest one), the calculation gives 0.000 kcal/mol of atoms. The uncorrected formation energy comes out at -0.22 eV/atom. The volume comes out at 272 Å³/cell. Its crystal system is tetragonal.

=====

Record 4
Here is CuTeO3 after structural relaxation from Alexandria. Energies are from PBE.

The structure belongs to space group Pm-3m (No. 221); the cell edges are 3.994, 3.994 and 3.994 Å and the angles 90.00°, 90.00° and 90.00°. The asymmetric unit holds Cu at (0.000, 0.000, 0.000), Te at (0.500, 0.500, 0.500) and O at (0.000, 0.500, 0.500).

The value obtained for the total DFT energy (no corrections) is -4.735 eV/atom. The uncorrected formation energy comes out at -0.31 eV/atom. The volume comes out at 64 Å³/cell. Its crystal system is cubic.

=====

Record 5
Here is CuTeO3 after structural relaxation from Alexandria. Energies are from PBE.

The structure belongs to space group Pm-3m (No. 221); the cell edges are 3.797, 3.797 and 3.797 Å and the angles 90.00°, 90.00° and 90.00°. The asymmetric unit holds Cu at (0.000, 0.000, 0.000), Te at (0.500, 0.500, 0.500) and O at (0.000, 0.000, 0.500).

The value obtained for the total DFT energy (no corrections) is -4.563 eV/atom. The uncorrected formation energy comes out at -0.14 eV/atom. The volume comes out at 55 Å³/cell. Its crystal system is cubic.

=====

Record 6
Here is Cu6TeO12 after structural relaxation from Alexandria. Energies are from PBE.

The structure belongs to space group R-3 (No. 148, hexagonal axes); the cell edges are 8.4831, 8.4831 and 10.7900 Å and the angles 90.00°, 90.00° and 120.00°. The asymmetric unit holds Cu at (0.0243, 0.7772, 0.1427), Te at (0.0000, 0.0000, 0.5000), O at (0.0186, 0.8132, 0.8649) and O at (0.0301, 0.2001, 0.6044).

The value obtained for the total DFT energy (no corrections) is -5.018 eV/atom. The uncorrected formation energy comes out at -0.43 eV/atom. The volume comes out at 672 Å³/cell. Its crystal system is trigonal.

=====

Record 7
Here is Cu3Te2O10 after structural relaxation from Alexandria. Energies are from PBE.

The structure belongs to space group P-1 (No. 2); the cell edges are 5.236, 5.640 and 7.694 Å and the angles 108.45°, 95.97° and 106.80°. The asymmetric unit holds Cu at (0.000, 0.000, 0.000), Cu at (0.297, 0.619, 0.097), Te at (0.122, 0.209, 0.694), O at (0.074, 0.543, 0.842), O at (0.086, 0.830, 0.545), O at (0.194, 0.949, 0.201), O at (0.313, 0.224, 0.946) and O at (0.484, 0.357, 0.674).

The value obtained for the total DFT energy (no corrections) is -5.156 eV/atom. For the polymorph energy (0 for the lowest one), the calculation gives 0.000 kcal/mol of atoms. The uncorrected formation energy comes out at -0.61 eV/atom. The volume comes out at 202 Å³/cell. Its crystal system is triclinic.

=====

Record 8
Here is CuTeO3 after structural relaxation from Alexandria. Energies are from PBE.

The structure belongs to space group Pnma (No. 62); the cell edges are 6.094, 7.196 and 5.855 Å and the angles 90.00°, 90.00° and 90.00°. The asymmetric unit holds Cu at (0.000, 0.000, 0.000), Te at (0.006, 0.250, 0.491), O at (0.050, 0.750, 0.838) and O at (0.200, 0.557, 0.416).

The value obtained for the total DFT energy (no corrections) is -5.210 eV/atom. The uncorrected formation energy comes out at -0.79 eV/atom. The volume comes out at 257 Å³/cell. Its crystal system is orthorhombic.

=====

Record 9
Here is CuTeO3 after structural relaxation from Alexandria. Energies are from PBE.

The structure belongs to space group P2_1/c (No. 14); the cell edges are 5.206, 9.522 and 7.570 Å and the angles 90.00°, 127.60° and 90.00°. The asymmetric unit holds Cu at (0.118, 0.012, 0.356), Te at (0.325, 0.711, 0.579), O at (0.093, 0.136, 0.147), O at (0.161, 0.606, 0.084) and O at (0.326, 0.653, 0.839).

The value obtained for the total DFT energy (no corrections) is -5.239 eV/atom. The uncorrected formation energy comes out at -0.82 eV/atom. The volume comes out at 297 Å³/cell. Its crystal system is monoclinic.

=====

Record 10
Here is Cu3TeO4 after structural relaxation from Alexandria. Energies are from PBE.

The structure belongs to space group Pmn2_1 (No. 31); the cell edges are 6.605, 5.150 and 6.397 Å and the angles 90.00°, 90.00° and 90.00°. The asymmetric unit holds Cu at (0.000, 0.059, 0.000), Cu at (0.225, 0.533, 0.823), Te at (0.000, 0.019, 0.512), O at (0.000, 0.268, 0.259), O at (0.000, 0.763, 0.794) and O at (0.216, 0.821, 0.389).

The value obtained for the total DFT energy (no corrections) is -4.969 eV/atom. The uncorrected formation energy comes out at -0.56 eV/atom. The volume comes out at 218 Å³/cell. Its crystal system is orthorhombic.

=====

Record 11
Here is CuTe2O after structural relaxation from Alexandria. Energies are from PBE.

The structure belongs to space group R-3m (No. 166, hexagonal axes); the cell edges are 3.2182, 3.2182 and 26.1496 Å and the angles 90.00°, 90.00° and 120.00°. The asymmetric unit holds Cu at (0.0000, 0.0000, 0.0000), Te at (0.0000, 0.0000, 0.0979) and O at (0.0000, 0.0000, 0.5000).

The value obtained for the total DFT energy (no corrections) is -3.475 eV/atom. The uncorrected formation energy comes out at 0.36 eV/atom. The volume comes out at 235 Å³/cell. Its crystal system is trigonal.

=====

Record 12
Here is CuTe2O6 after structural relaxation from Alexandria. Energies are from PBE.

The structure belongs to space group P321 (No. 150); the cell edges are 8.9774, 8.9774 and 4.7262 Å and the angles 90.00°, 90.00° and 120.00°. The asymmetric unit holds Cu at (0.0000, 0.0000, 0.0000), Cu at (0.3333, 0.6667, 0.5053), Te at (0.0000, 0.3131, 0.5000), Te at (0.0000, 0.6467, 0.0000), O at (0.1091, 0.2221, 0.7588), O at (0.1092, 0.5333, 0.7312) and O at (0.2181, 0.4411, 0.2776).

The value obtained for the total DFT energy (no corrections) is -5.236 eV/atom. For the polymorph energy (0 for the lowest one), the calculation gives 0.000 kcal/mol of atoms. The uncorrected formation energy comes out at -0.78 eV/atom. The volume comes out at 330 Å³/cell. Its crystal system is trigonal.

=====

Record 13
Here is CuTe2O5 after structural relaxation from Alexandria. Energies are from PBE.

The structure belongs to space group P2_1/c (No. 14); the cell edges are 7.087, 9.539 and 7.694 Å and the angles 90.00°, 108.14° and 90.00°. The asymmetric unit holds Cu at (0.157, 0.011, 0.206), Te at (0.164, 0.686, 0.051), Te at (0.346, 0.210, 0.909), O at (0.019, 0.626, 0.811), O at (0.134, 0.618, 0.503), O at (0.174, 0.137, 0.414), O at (0.341, 0.148, 0.151) and O at (0.411, 0.685, 0.969).

The value obtained for the total DFT energy (no corrections) is -5.284 eV/atom. For the polymorph energy (0 for the lowest one), the calculation gives 0.000 kcal/mol of atoms. The uncorrected formation energy comes out at -0.89 eV/atom. The volume comes out at 494 Å³/cell. Its crystal system is monoclinic.

=====

Record 14
Here is Cu3Te2O10 after structural relaxation from Alexandria. Energies are from PBE.

The structure belongs to space group P-1 (No. 2); the cell edges are 6.157, 6.423 and 6.447 Å and the angles 77.71°, 66.12° and 70.04°. The asymmetric unit holds Cu at (0.000, 0.000, 0.000), Cu at (0.295, 0.404, 0.475), Te at (0.333, 0.944, 0.226), O at (0.048, 0.433, 0.334), O at (0.111, 0.343, 0.140), O at (0.305, 0.791, 0.945), O at (0.467, 0.864, 0.715) and O at (0.491, 0.340, 0.671).

The value obtained for the total DFT energy (no corrections) is -4.698 eV/atom. For the polymorph energy (0 for the lowest one), the calculation gives 10.582 kcal/mol of atoms. The uncorrected formation energy comes out at -0.15 eV/atom. The volume comes out at 218 Å³/cell. Its crystal system is triclinic.

=====

Record 15
Here is CuTe2O after structural relaxation from Alexandria. Energies are from PBE.

The structure belongs to space group I-42d (No. 122); the cell edges are 5.222, 5.222 and 12.981 Å and the angles 90.00°, 90.00° and 90.00°. The asymmetric unit holds Cu at (0.000, 0.000, 0.000), Te at (0.207, 0.250, 0.625) and O at (0.000, 0.000, 0.500).

The value obtained for the total DFT energy (no corrections) is -3.791 eV/atom. The uncorrected formation energy comes out at 0.04 eV/atom. The volume comes out at 354 Å³/cell. Its crystal system is tetragonal.

=====

Record 16
Here is Cu2TeO after structural relaxation from Alexandria. Energies are from PBE.

The structure belongs to space group Fm-3m (No. 225); the cell edges are 6.180, 6.180 and 6.180 Å and the angles 90.00°, 90.00° and 90.00°. The asymmetric unit holds Cu at (0.250, 0.250, 0.250), Te at (0.000, 0.000, 0.000) and O at (0.000, 0.000, 0.500).

The value obtained for the total DFT energy (no corrections) is -3.641 eV/atom. For the polymorph energy (0 for the lowest one), the calculation gives 14.970 kcal/mol of atoms. The uncorrected formation energy comes out at 0.43 eV/atom. The volume comes out at 236 Å³/cell. Its crystal system is cubic.

=====

Record 17
Here is CuTe2O6 after structural relaxation from Alexandria. Energies are from PBE.

The structure belongs to space group C2/m (No. 12); the cell edges are 10.053, 3.882 and 6.877 Å and the angles 90.00°, 113.19° and 90.00°. The asymmetric unit holds Cu at (0.000, 0.000, 0.000), Te at (0.185, 0.000, 0.671), O at (0.017, 0.000, 0.732), O at (0.149, 0.500, 0.078) and O at (0.186, 0.500, 0.589).

The value obtained for the total DFT energy (no corrections) is -5.106 eV/atom. For the polymorph energy (0 for the lowest one), the calculation gives 3.010 kcal/mol of atoms. The uncorrected formation energy comes out at -0.65 eV/atom. The volume comes out at 247 Å³/cell. Its crystal system is monoclinic.

=====

Record 18
Here is CuTeO3 after structural relaxation from Alexandria. Energies are from PBE.

The structure belongs to space group Cmc2_1 (No. 36); the cell edges are 3.317, 17.055 and 4.958 Å and the angles 90.00°, 90.00° and 90.00°. The asymmetric unit holds Cu at (0.000, 0.041, 0.000), Te at (0.000, 0.346, 0.030), O at (0.000, 0.069, 0.381), O at (0.000, 0.209, 0.691) and O at (0.000, 0.412, 0.348).

The value obtained for the total DFT energy (no corrections) is -5.114 eV/atom. The uncorrected formation energy comes out at -0.69 eV/atom. The volume comes out at 281 Å³/cell. Its crystal system is orthorhombic.